[1]
The following is a DFT calculation (PBE-GGA) of a relaxed structure of TbIn2Au7.

```
TbIn2Au7
1.0
3.4633 -8.4608 0.0000
3.4633 8.4608 0.0000
0.0000 0.0000 3.9214
Tb In Au
1 2 7
Direct
0.0000 0.0000 0.0000
0.2562 0.7438 0.5000
0.7438 0.2562 0.5000
0.0881 0.3104 0.5000
0.3104 0.0881 0.5000
0.3741 0.6259 0.0000
0.5000 0.5000 0.5000
0.6259 0.3741 0.0000
0.6896 0.9119 0.5000
0.9119 0.6896 0.5000
```

total DFT energy (no corrections) = -3.572 eV/atom
space group = No. 65

***

[2]
The following is a DFT calculation (PBE-GGA) of a relaxed structure of Tb2InAu.

```
Tb2InAu
1.0
3.6218 0.0000 0.0000
0.0000 3.6218 0.0000
0.0000 0.0000 7.7298
Tb In Au
2 1 1
Direct
0.0000 0.0000 0.2311
0.0000 0.0000 0.7689
0.5000 0.5000 0.5000
0.5000 0.5000 0.0000
```

total DFT energy (no corrections) = -4.485 eV/atom
space group = No. 123

***

[3]
The following is a DFT calculation (PBE-GGA) of a relaxed structure of Tb4In5Au2.

```
Tb4In5Au2
1.0
7.7991 0.0000 0.0000
0.0000 3.6534 0.0000
-0.8221 0.0000 9.8429
Tb In Au
4 5 2
Direct
0.1840 0.0000 0.3674
0.2370 0.0000 0.9379
0.7630 0.0000 0.0621
0.8160 0.0000 0.6326
0.1725 0.5000 0.6487
0.4577 0.5000 0.1840
0.5000 0.5000 0.5000
0.5423 0.5000 0.8160
0.8275 0.5000 0.3513
0.0726 0.5000 0.1383
0.9274 0.5000 0.8617
```

total DFT energy (no corrections) = -4.097 eV/atom
space group = No. 10

***

[4]
The following is a DFT calculation (PBE-GGA) of a relaxed structure of Tb4Tl2InAu.

```
Tb4Tl2InAu
1.0
2.6558 1.5333 8.6770
-2.6558 1.5333 8.6770
0.0000 -3.0667 8.6770
Tb Tl In Au
4 2 1 1
Direct
0.1199 0.1199 0.1199
0.3706 0.3706 0.3706
0.6294 0.6294 0.6294
0.8801 0.8801 0.8801
0.2474 0.2474 0.2474
0.7526 0.7526 0.7526
0.5000 0.5000 0.5000
0.0000 0.0000 0.0000
```

total DFT energy (no corrections) = -4.137 eV/atom
space group = No. 166

***

[5]
The following is a DFT calculation (PBE-GGA) of a relaxed structure of TbTmInAu.

```
TbTmInAu
1.0
0.0000 3.6773 3.6773
3.6773 0.0000 3.6773
3.6773 3.6773 0.0000
Tb Tm In Au
1 1 1 1
Direct
0.0000 0.0000 0.0000
0.5000 0.5000 0.5000
0.7500 0.7500 0.7500
0.2500 0.2500 0.2500
```

total DFT energy (no corrections) = -4.395 eV/atom
polymorph energy (0 for the lowest one) = 5.5 kJ per mole of atoms
space group = No. 216

***

[6]
The following is a DFT calculation (PBE-GGA) of a relaxed structure of TbTmInAu.

```
TbTmInAu
1.0
3.5933 0.0000 0.0000
0.0000 3.5933 0.0000
0.0000 0.0000 7.6544
Tb Tm In Au
1 1 1 1
Direct
0.0000 0.0000 0.0000
0.0000 0.0000 0.5379
0.5000 0.5000 0.2721
0.5000 0.5000 0.7518
```

total DFT energy (no corrections) = -4.452 eV/atom
polymorph energy (0 for the lowest one) = 0.0 kJ per mole of atoms
space group = No. 99

***

[7]
The following is a DFT calculation (PBE-GGA) of a relaxed structure of TbYInAu.

```
TbYInAu
1.0
3.6203 0.0000 0.0000
0.0000 3.6203 0.0000
0.0000 0.0000 7.7087
Tb Y In Au
1 1 1 1
Direct
0.0000 0.0000 0.0000
0.0000 0.0000 0.4632
0.5000 0.5000 0.7303
0.5000 0.5000 0.2325
```

total DFT energy (no corrections) = -4.954 eV/atom
polymorph energy (0 for the lowest one) = 0.0 kJ per mole of atoms
space group = No. 99

***

[8]
The following is a DFT calculation (PBE-GGA) of a relaxed structure of TbYInAu.

```
TbYInAu
1.0
0.0000 3.7044 3.7044
3.7044 0.0000 3.7044
3.7044 3.7044 0.0000
Tb Y In Au
1 1 1 1
Direct
0.0000 0.0000 0.0000
0.5000 0.5000 0.5000
0.2500 0.2500 0.2500
0.7500 0.7500 0.7500
```

total DFT energy (no corrections) = -4.904 eV/atom
polymorph energy (0 for the lowest one) = 4.9 kJ per mole of atoms
space group = No. 216

***

[9]
The following is a DFT calculation (PBE-GGA) of a relaxed structure of TbZrInAu.

```
TbZrInAu
1.0
0.0000 3.6019 3.6019
3.6019 0.0000 3.6019
3.6019 3.6019 0.0000
Tb Zr In Au
1 1 1 1
Direct
0.0000 0.0000 0.0000
0.5000 0.5000 0.5000
0.7500 0.7500 0.7500
0.2500 0.2500 0.2500
```

total DFT energy (no corrections) = -5.205 eV/atom
space group = No. 216

***

[10]
The following is a DFT calculation (PBE-GGA) of a relaxed structure of InTc2Au.

```
InTc2Au
1.0
3.9646 0.0000 0.0000
0.0000 3.9646 0.0000
0.0000 0.0000 4.2995
In Tc Au
1 2 1
Direct
0.0000 0.0000 0.0000
0.0000 0.5000 0.5000
0.5000 0.0000 0.5000
0.5000 0.5000 0.0000
```

total DFT energy (no corrections) = -6.284 eV/atom
space group = No. 123

***

[11]
The following is a DFT calculation (PBE-GGA) of a relaxed structure of InTcAu2.

```
InTcAu2
1.0
2.8641 -4.3225 0.0000
2.8641 4.3225 0.0000
-0.0121 0.0000 2.8782
In Tc Au
1 1 2
Direct
0.0000 0.0000 0.0000
0.5000 0.5000 0.0000
0.0000 0.5000 0.5000
0.5000 0.0000 0.5000
```

total DFT energy (no corrections) = -4.680 eV/atom
space group = No. 12

***

[12]
The following is a DFT calculation (PBE-GGA) of a relaxed structure of InTcAu2.

```
InTcAu2
1.0
-1.9767 1.9767 10.0780
1.9767 -1.9767 10.0780
1.9767 1.9767 -10.0780
In Tc Au
2 2 4
Direct
0.0000 0.0000 0.0000
0.7500 0.2500 0.5000
0.2500 0.7500 0.5000
0.5000 0.5000 0.0000
0.1295 0.6250 0.0045
0.3750 0.3795 0.5045
0.6205 0.1250 0.9955
0.8750 0.8705 0.4955
```

total DFT energy (no corrections) = -4.449 eV/atom
space group = No. 122

***

[13]
The following is a DFT calculation (PBE-GGA) of a relaxed structure of In2TcAu.

```
In2TcAu
1.0
5.2762 -1.5848 0.0000
5.2762 1.5848 0.0000
-1.7069 0.0000 4.5778
In Tc Au
2 1 1
Direct
0.0000 0.0000 0.0000
0.2253 0.2253 0.6059
0.4851 0.4851 0.5097
0.7571 0.7571 0.1259
```

total DFT energy (no corrections) = -4.632 eV/atom
space group = No. 8

***

[14]
The following is a DFT calculation (PBE-GGA) of a relaxed structure of InTc2Au.

```
InTc2Au
1.0
2.8748 0.0000 0.0000
0.0000 2.8748 0.0000
0.0000 0.0000 8.1703
In Tc Au
1 2 1
Direct
0.0000 0.0000 0.0000
0.5000 0.5000 0.2576
0.5000 0.5000 0.7424
0.0000 0.0000 0.5000
```

total DFT energy (no corrections) = -6.189 eV/atom
space group = No. 123

***

[15]
The following is a DFT calculation (PBE-GGA) of a relaxed structure of InTcAu2.

```
InTcAu2
1.0
2.8884 0.0000 0.0000
0.0000 4.1694 0.0000
-0.0753 0.0000 5.9611
In Tc Au
1 1 2
Direct
0.0000 0.0000 0.0000
0.0000 0.0000 0.5000
0.4964 0.5000 0.2639
0.5036 0.5000 0.7361
```

total DFT energy (no corrections) = -4.631 eV/atom
space group = No. 10

***

[16]
The following is a DFT calculation (PBE-GGA) of a relaxed structure of In2TcAu.

```
In2TcAu
1.0
-2.0029 2.0029 4.7338
2.0029 -2.0029 4.7338
2.0029 2.0029 -4.7338
In Tc Au
2 1 1
Direct
0.0000 0.0000 0.0000
0.7500 0.2500 0.5000
0.2500 0.7500 0.5000
0.5000 0.5000 0.0000
```

total DFT energy (no corrections) = -4.588 eV/atom
space group = No. 119

***

[17]
The following is a DFT calculation (PBE-GGA) of a relaxed structure of InTcAu2.

```
InTcAu2
1.0
3.0186 0.0000 0.0000
0.0000 3.0186 0.0000
0.0000 0.0000 7.8978
In Tc Au
1 1 2
Direct
0.0000 0.0000 0.0000
0.5000 0.5000 0.2453
0.0000 0.0000 0.4751
0.5000 0.5000 0.7335
```

total DFT energy (no corrections) = -4.683 eV/atom
space group = No. 99

***

[18]
The following is a DFT calculation (PBE-GGA) of a relaxed structure of InTcAu2.

```
InTcAu2
1.0
5.0498 -1.4573 0.0000
5.0498 1.4573 0.0000
-1.0880 0.0000 4.8856
In Tc Au
1 1 2
Direct
0.0000 0.0000 0.0000
0.5000 0.5000 0.5000
0.2413 0.2413 0.7383
0.7587 0.7587 0.2617
```

total DFT energy (no corrections) = -4.655 eV/atom
space group = No. 12

***

[19]
The following is a DFT calculation (PBE-GGA) of a relaxed structure of InTcAu2.

```
InTcAu2
1.0
2.9497 0.0000 0.0000
0.0000 4.6826 0.0000
0.0000 0.0000 5.1713
In Tc Au
1 1 2
Direct
0.0000 0.0000 0.0000
0.5000 0.5000 0.8450
0.0000 0.5000 0.3507
0.5000 0.0000 0.5148
```

total DFT energy (no corrections) = -4.674 eV/atom
space group = No. 25

***

[20]
The following is a DFT calculation (PBE-GGA) of a relaxed structure of In2TcAu.

```
In2TcAu
1.0
0.0000 3.3588 3.3588
3.3588 0.0000 3.3588
3.3588 3.3588 0.0000
In Tc Au
2 1 1
Direct
0.0000 0.0000 0.0000
0.2500 0.2500 0.2500
0.7500 0.7500 0.7500
0.5000 0.5000 0.5000
```

total DFT energy (no corrections) = -4.331 eV/atom
space group = No. 216

***

[21]
The following is a DFT calculation (PBE-GGA) of a relaxed structure of InTcAu.

```
InTcAu
1.0
2.9915 0.0000 0.0000
-1.4958 2.5907 0.0000
0.0000 0.0000 6.9478
In Tc Au
1 1 1
Direct
0.0000 0.0000 0.0000
0.3333 0.6667 0.3252
0.6667 0.3333 0.6481
```

total DFT energy (no corrections) = -5.106 eV/atom
polymorph energy (0 for the lowest one) = 3.4 kJ per mole of atoms
space group = No. 156

***

[22]
The following is a DFT calculation (PBE-GGA) of a relaxed structure of InTc2Au.

```
InTc2Au
1.0
-1.9862 1.9862 4.2891
1.9862 -1.9862 4.2891
1.9862 1.9862 -4.2891
In Tc Au
1 2 1
Direct
0.0000 0.0000 0.0000
0.2500 0.7500 0.5000
0.7500 0.2500 0.5000
0.5000 0.5000 0.0000
```

total DFT energy (no corrections) = -6.273 eV/atom
space group = No. 139

***

[23]
The following is a DFT calculation (PBE-GGA) of a relaxed structure of InTc2Au.

```
InTc2Au
1.0
1.4473 0.8356 9.3963
-1.4473 0.8356 9.3963
0.0000 -1.6712 9.3963
In Tc Au
1 2 1
Direct
0.0000 0.0000 0.0000
0.2481 0.2481 0.2481
0.5103 0.5103 0.5103
0.7579 0.7579 0.7579
```

total DFT energy (no corrections) = -6.485 eV/atom
space group = No. 160

***

[24]
The following is a DFT calculation (PBE-GGA) of a relaxed structure of InTc2Au.

```
InTc2Au
1.0
2.7074 -4.2297 0.0000
2.7074 4.2297 0.0000
0.0000 0.0000 2.9384
In Tc Au
1 2 1
Direct
0.0000 0.0000 0.0000
0.0000 0.5000 0.5000
0.5000 0.0000 0.5000
0.5000 0.5000 0.0000
```

total DFT energy (no corrections) = -6.265 eV/atom
space group = No. 65

***

[25]
The following is a DFT calculation (PBE-GGA) of a relaxed structure of In2TcAu.

```
In2TcAu
1.0
3.4257 0.0000 0.0000
0.0000 3.4673 0.0000
0.0000 0.0000 6.3018
In Tc Au
2 1 1
Direct
0.0000 0.0000 0.2332
0.0000 0.0000 0.7668
0.5000 0.5000 0.0000
0.5000 0.5000 0.5000
```

total DFT energy (no corrections) = -4.636 eV/atom
space group = No. 47

***

[26]
The following is a DFT calculation (PBE-GGA) of a relaxed structure of InTcAu2.

```
InTcAu2
1.0
1.4827 0.8560 9.4651
-1.4827 0.8560 9.4651
0.0000 -1.7120 9.4651
In Tc Au
1 1 2
Direct
0.0000 0.0000 0.0000
0.5000 0.5000 0.5000
0.2457 0.2457 0.2457
0.7543 0.7543 0.7543
```

total DFT energy (no corrections) = -4.580 eV/atom
space group = No. 166

***

[27]
The following is a DFT calculation (PBE-GGA) of a relaxed structure of InTc2Au.

```
InTc2Au
1.0
1.4514 0.8380 9.2400
-1.4514 0.8380 9.2400
0.0000 -1.6759 9.2400
In Tc Au
1 2 1
Direct
0.0000 0.0000 0.0000
0.2489 0.2489 0.2489
0.7511 0.7511 0.7511
0.5000 0.5000 0.5000
```

total DFT energy (no corrections) = -6.206 eV/atom
space group = No. 166

***

[28]
The following is a DFT calculation (PBE-GGA) of a relaxed structure of InTc2Au.

```
InTc2Au
1.0
-1.6380 2.2037 4.6908
1.6380 -2.2037 4.6908
1.6380 2.2037 -4.6908
In Tc Au
1 2 1
Direct
0.0000 0.0000 0.0000
0.2490 0.7490 0.5000
0.7510 0.2510 0.5000
0.5000 0.5000 0.0000
```

total DFT energy (no corrections) = -6.263 eV/atom
space group = No. 71

***

[29]
The following is a DFT calculation (PBE-GGA) of a relaxed structure of In2TcAu.

```
In2TcAu
1.0
4.6684 -1.5240 0.0000
4.6684 1.5240 0.0000
-1.1386 0.0000 5.3557
In Tc Au
2 1 1
Direct
0.2460 0.2460 0.2409
0.7540 0.7540 0.7591
0.5000 0.5000 0.0000
0.0000 0.0000 0.5000
```

total DFT energy (no corrections) = -4.505 eV/atom
space group = No. 12

***

[30]
The following is a DFT calculation (PBE-GGA) of a relaxed structure of In2TcAu.

```
In2TcAu
1.0
-2.1154 2.1154 4.1997
2.1154 -2.1154 4.1997
2.1154 2.1154 -4.1997
In Tc Au
2 1 1
Direct
0.2500 0.7500 0.5000
0.7500 0.2500 0.5000
0.0000 0.0000 0.0000
0.5000 0.5000 0.0000
```

total DFT energy (no corrections) = -4.551 eV/atom
space group = No. 139

***

The following DFT formation energy values (in eV per atom) correspond, in order, to the records above: -0.267 -0.666 -0.573 -0.479 -0.615 -0.672 -0.677 -0.626 -0.406 0.403 0.234 0.466 0.148 0.498 0.284 0.192 0.232 0.260 0.240 0.450 0.355 0.414 0.202 0.422 0.144 0.335 0.481 0.424 0.275 0.229.